Record 1
Entry from the Alexandria database: Nd3ZnO6 after structural relaxation (PBE).

POSCAR file:
```
Nd3ZnO6
1.0
-3.139 3.740 -2.838
2.346 -2.914 -6.435
-6.096 -4.016 1.452
O Nd Zn
12 6 2
Cartesian
-2.633 -1.720 -7.107
-2.991 -3.794 -3.969
-6.355 -1.295 -2.138
-1.446 0.473 -5.530
-0.003 -0.495 -8.030
-3.879 -1.920 -0.372
-5.066 -4.112 -1.949
0.006 -2.539 -5.194
-1.798 -1.589 -2.383
-4.795 -1.955 -5.169
-3.601 0.251 -3.583
-6.301 -3.392 0.738
-7.003 -2.065 -5.934
-3.603 -3.696 -6.225
-3.897 0.119 -5.953
-1.300 0.559 -3.165
-4.700 2.190 -2.874
-4.105 -1.983 -2.873
-0.845 -1.245 -6.354
-4.491 -3.796 -0.063
```

VASP energy = -7.274 eV/atom
Uncorrected formation energy = -2741.1 meV per atom
M_tot = 1.05 μB per formula unit

Record 2
Entry from the Alexandria database: PuNbCrOs after structural relaxation (PBE).

POSCAR file:
```
PuNbCrOs
1.0
-0.599 -4.540 -0.359
2.059 -2.327 -3.383
3.468 -2.857 0.957
Nb Os Pu Cr
1 1 1 1
Cartesian
2.464 -4.862 -1.393
1.232 -2.431 -0.696
0.000 0.000 0.000
3.696 -7.294 -2.089
```

VASP energy = -11.187 eV/atom
DFT formation energy = 0.127 eV per atom
M_tot = 3.40 μB per formula unit

Q: The lowest VASP energy belongs to which entry?
A: PuNbCrOs

Q: What is the VASP energy in the first record?
A: -7.274 eV/atom

Q: What is the M_tot in the second record?
A: 3.40 μB per formula unit

Copy entry 1 word for word.
Entry from the Alexandria database: Nd3ZnO6 after structural relaxation (PBE).

POSCAR file:
```
Nd3ZnO6
1.0
-3.139 3.740 -2.838
2.346 -2.914 -6.435
-6.096 -4.016 1.452
O Nd Zn
12 6 2
Cartesian
-2.633 -1.720 -7.107
-2.991 -3.794 -3.969
-6.355 -1.295 -2.138
-1.446 0.473 -5.530
-0.003 -0.495 -8.030
-3.879 -1.920 -0.372
-5.066 -4.112 -1.949
0.006 -2.539 -5.194
-1.798 -1.589 -2.383
-4.795 -1.955 -5.169
-3.601 0.251 -3.583
-6.301 -3.392 0.738
-7.003 -2.065 -5.934
-3.603 -3.696 -6.225
-3.897 0.119 -5.953
-1.300 0.559 -3.165
-4.700 2.190 -2.874
-4.105 -1.983 -2.873
-0.845 -1.245 -6.354
-4.491 -3.796 -0.063
```

VASP energy = -7.274 eV/atom
Uncorrected formation energy = -2741.1 meV per atom
M_tot = 1.05 μB per formula unit